# Cu3OF5 | the Alexandria database | GGA-PBEsol | relaxed
# Spin magnetization ... 0.083 μB per atom
# ΔE to the lowest computed polymorph ... 0.02 eV per formula unit
# Formation energy from raw total energies ... -1.2686 eV per atom
data_Cu3OF5
_space_group_name_H-M_alt 'P 1'
_space_group_IT_number 1
_cell_length_a 5.407
_cell_length_b 5.627
_cell_length_c 6.965
_cell_angle_alpha 75.59
_cell_angle_beta 73.38
_cell_angle_gamma 74.48
loop_
_space_group_symop_operation_xyz
'x,y,z'
loop_
_atom_site_label
_atom_site_type_symbol
_atom_site_fract_x
_atom_site_fract_y
_atom_site_fract_z
Cu1 Cu 0.000 0.000 0.000
Cu2 Cu 0.002 0.012 0.501
Cu3 Cu 0.346 0.354 0.655
Cu4 Cu 0.349 0.347 0.177
Cu5 Cu 0.667 0.667 0.324
Cu6 Cu 0.686 0.686 0.846
O1 O 0.447 0.446 0.371
O2 O 0.780 0.773 0.042
F1 F 0.044 0.645 0.679
F2 F 0.103 0.119 0.701
F3 F 0.240 0.249 0.966
F4 F 0.321 0.731 0.988
F5 F 0.359 0.961 0.345
F6 F 0.593 0.591 0.634
F7 F 0.644 0.066 0.660
F8 F 0.702 0.295 0.016
F9 F 0.897 0.895 0.309
F10 F 0.990 0.376 0.330